KSrY2: optimized geometry, PBE. Values from VASP.

```
&SYSTEM
  ibrav = 0, nat = 4, ntyp = 3
/
ATOMIC_SPECIES
K 39.10 K.upf
Sr 87.62 Sr.upf
Y 88.91 Y.upf
CELL_PARAMETERS angstrom
6.325 0.000 0.000
0.000 6.325 0.000
0.000 0.000 4.122
ATOMIC_POSITIONS angstrom
K 0.000 0.000 0.000
Sr 3.163 3.163 0.000
Y 0.000 3.163 2.061
Y 3.163 0.000 2.061
```

mass density: 3.1 g/cm3
crystal system: tetragonal
offset from the most stable computed form: 347 meV/atom
raw total energy: -3.38 eV per atom
magnetic moment: 0.000 μB per atom

---

Er5Te: optimized geometry, PBE. Values from VASP.

```
&SYSTEM
  ibrav = 0, nat = 12, ntyp = 2
/
ATOMIC_SPECIES
Er 167.26 Er.upf
Te 127.60 Te.upf
CELL_PARAMETERS angstrom
4.689 0.000 0.000
0.000 14.987 0.000
0.000 0.000 4.866
ATOMIC_POSITIONS angstrom
Er 0.000 0.000 0.000
Er 0.000 2.460 2.433
Er 0.000 4.950 0.000
Er 0.000 10.037 0.000
Er 0.000 12.526 2.433
Er 2.345 2.543 0.000
Er 2.345 5.033 2.433
Er 2.345 7.493 0.000
Er 2.345 9.953 2.433
Er 2.345 12.443 0.000
Te 0.000 7.493 2.433
Te 2.345 0.000 2.433
```

mass density: 9.4 g/cm3
crystal system: orthorhombic
raw total energy: -4.58 eV per atom
magnetic moment: 0.002 μB per atom